LiReBr2 | SCAN | PBEsol geometry

**Polymorph energy (0 for the lowest one)**: 237 meV per atom
**Total energy**: -27.569 eV per atom
**Formation energy from raw total energies**: 0.532 eV/atom
**Density**: 6.7 g/cm3

Unit cell a=3.668 b=3.668 c=12.954 alpha=90.00 beta=90.00 gamma=90.00
Space group I-4m2 (No. 119)
Asymmetric unit:
Li  0.000  0.000  0.000 (multiplicity 2)
Re  0.000  0.500  0.750 (multiplicity 2)
Br  0.000  0.000  0.500 (multiplicity 2)
Br  0.000  0.500  0.250 (multiplicity 2)



Sn5S4Cl2 | SCAN | PBEsol geometry

**Polymorph energy (0 for the lowest one)**: 25 meV per atom
**Total energy**: -21.781 eV per atom
**Formation energy from raw total energies**: -0.501 eV/atom
**Density**: 4.8 g/cm3

Unit cell a=7.104 b=8.883 c=10.378 alpha=67.11 beta=71.00 gamma=67.11
Space group P-1 (No. 2)
Asymmetric unit:
Sn  0.072  0.293  0.233 (multiplicity 2)
Sn  0.222  0.143  0.938 (multiplicity 2)
Sn  0.237  0.351  0.577 (multiplicity 2)
Sn  0.327  0.769  0.291 (multiplicity 2)
Sn  0.401  0.785  0.742 (multiplicity 2)
S  0.000  0.013  0.192 (multiplicity 2)
S  0.172  0.529  0.316 (multiplicity 2)
S  0.279  0.628  0.580 (multiplicity 2)
S  0.481  0.847  0.951 (multiplicity 2)
Cl  0.244  0.552  0.943 (multiplicity 2)
Cl  0.254  0.042  0.441 (multiplicity 2)



Please write out number 1 again, unchanged.
LiReBr2 | SCAN | PBEsol geometry

**Polymorph energy (0 for the lowest one)**: 237 meV per atom
**Total energy**: -27.569 eV per atom
**Formation energy from raw total energies**: 0.532 eV/atom
**Density**: 6.7 g/cm3

Unit cell a=3.668 b=3.668 c=12.954 alpha=90.00 beta=90.00 gamma=90.00
Space group I-4m2 (No. 119)
Asymmetric unit:
Li  0.000  0.000  0.000 (multiplicity 2)
Re  0.000  0.500  0.750 (multiplicity 2)
Br  0.000  0.000  0.500 (multiplicity 2)
Br  0.000  0.500  0.250 (multiplicity 2)



Question: Among the records above, which one has the highest density?
Answer: LiReBr2



Question: Number 2 is which compound?
Answer: Sn5S4Cl2



Question: Number 2 is which compound?
Answer: Sn5S4Cl2